A plane-wave DFT calculation with PBE was carried out for an optimized crystal structure of V3GaPb.

* symmetry: Pm-3m
* excess energy over the best structure of this formula in the dataset: 0.0 kJ/mol of atoms

Cell: 4.6332 4.6332 4.6332 Å, 90.00 90.00 90.00°
With the nearest neighbours (Å) after each atom.
Fractional positions:
Pb1 0.5000 0.5000 0.5000  12 V 3.28
Ga1 0.0000 0.0000 0.0000  6 V 2.32
V1 0.0000 0.5000 0.0000  2 Ga 2.32
V2 0.0000 0.0000 0.5000  2 Ga 2.32
V3 0.5000 0.0000 0.0000  2 Ga 2.32



A plane-wave DFT calculation with PBE was carried out for an optimized crystal structure of V2GaPb.

* symmetry: I-42d

Cell: 3.9597 3.9597 9.9936 Å, 78.57 78.57 90.00°
With the nearest neighbours (Å) after each atom.
Fractional positions:
Pb1 0.0000 0.0000 0.0000  4 Ga 2.80, 4 V 2.85
Pb2 0.7500 0.2500 0.5000  4 Ga 2.80, 4 V 2.85
Ga1 0.5000 0.5000 0.0000  4 V 2.72, 4 Pb 2.80
Ga2 0.2500 0.7500 0.5000  4 V 2.72, 4 Pb 2.80
V1 0.5796 0.1250 0.2500  2 V 2.56, 2 Ga 2.72, 2 Pb 2.85
V2 0.1704 0.6250 0.2500  2 V 2.56, 2 Ga 2.72, 2 Pb 2.85
V3 0.3750 0.4204 0.7500  2 V 2.56, 2 Ga 2.72, 2 Pb 2.85
V4 0.8750 0.8296 0.7500  2 V 2.56, 2 Ga 2.72, 2 Pb 2.85



A plane-wave DFT calculation with PBE was carried out for an optimized crystal structure of V3GaPb.

* symmetry: Pm-3m
* excess energy over the best structure of this formula in the dataset: 76.7 kJ/mol of atoms

Cell: 5.1520 5.1520 5.1520 Å, 90.00 90.00 90.00°
With the nearest neighbours (Å) after each atom.
Fractional positions:
Pb1 0.0000 0.0000 0.0000  6 V 2.58
Ga1 0.5000 0.5000 0.5000  12 V 3.64
V1 0.0000 0.5000 0.0000  2 Pb 2.58
V2 0.0000 0.0000 0.5000  2 Pb 2.58
V3 0.5000 0.0000 0.0000  2 Pb 2.58



A plane-wave DFT calculation with PBE was carried out for an optimized crystal structure of Ga3PbW.

* symmetry: Pm-3m
* excess energy over the best structure of this formula in the dataset: 0.0 kJ/mol of atoms

Cell: 4.9644 4.9644 4.9644 Å, 90.00 90.00 90.00°
With the nearest neighbours (Å) after each atom.
Fractional positions:
Pb1 0.5000 0.5000 0.5000  12 Ga 3.51
Ga1 0.0000 0.5000 0.0000  2 W 2.48
Ga2 0.0000 0.0000 0.5000  2 W 2.48
Ga3 0.5000 0.0000 0.0000  2 W 2.48
W1 0.0000 0.0000 0.0000  6 Ga 2.48



A plane-wave DFT calculation with PBE was carried out for an optimized crystal structure of YGa3Pb.

* symmetry: Pm-3m
* excess energy over the best structure of this formula in the dataset: 0.0 kJ/mol of atoms

Cell: 5.4564 5.4564 5.4564 Å, 90.00 90.00 90.00°
With the nearest neighbours (Å) after each atom.
Fractional positions:
Pb1 0.5000 0.5000 0.5000  12 Ga 3.86
Y1 0.0000 0.0000 0.0000  6 Ga 2.73
Ga1 0.0000 0.5000 0.0000  2 Y 2.73
Ga2 0.0000 0.0000 0.5000  2 Y 2.73
Ga3 0.5000 0.0000 0.0000  2 Y 2.73



A plane-wave DFT calculation with PBE was carried out for an optimized crystal structure of YGa3Pb.

* symmetry: Pm-3m
* excess energy over the best structure of this formula in the dataset: 3.0 kJ/mol of atoms

Cell: 5.3477 5.3477 5.3477 Å, 90.00 90.00 90.00°
With the nearest neighbours (Å) after each atom.
Fractional positions:
Pb1 0.0000 0.0000 0.0000  6 Ga 2.67
Y1 0.5000 0.5000 0.5000  12 Ga 3.78
Ga1 0.0000 0.5000 0.0000  2 Pb 2.67
Ga2 0.0000 0.0000 0.5000  2 Pb 2.67
Ga3 0.5000 0.0000 0.0000  2 Pb 2.67



A plane-wave DFT calculation with PBE was carried out for an optimized crystal structure of YGaPb.

* symmetry: I4mm
* excess energy over the best structure of this formula in the dataset: 13.4 kJ/mol of atoms

Cell: 3.6790 3.6790 6.2100 Å, 107.23 107.23 90.00°
With the nearest neighbours (Å) after each atom.
Fractional positions:
Pb1 0.9316 0.9316 0.8632  4 Ga 3.07, 1 Y 3.39
Y1 0.6306 0.6306 0.2613  4 Ga 3.15, 5 Pb 3.39-3.44
Ga1 0.2877 0.2877 0.5755  4 Pb 3.07, 4 Y 3.15



A plane-wave DFT calculation with PBE was carried out for an optimized crystal structure of YGaPb.

* symmetry: C2/m
* excess energy over the best structure of this formula in the dataset: 17.3 kJ/mol of atoms

Cell: 3.4760 7.8414 6.6861 Å, 112.05 105.07 90.00°
With the nearest neighbours (Å) after each atom.
Fractional positions:
Pb1 0.5884 0.8448 0.1768  2 Ga 2.86-2.88
Pb2 0.4116 0.1552 0.8232  2 Ga 2.86-2.88
Y1 0.1616 0.2259 0.3231  3 Ga 2.92-3.01, 2 Pb 3.26
Y2 0.8384 0.7741 0.6769  3 Ga 2.92-3.01, 2 Pb 3.26
Ga1 0.6087 0.4947 0.2174  1 Ga 2.84, 2 Pb 2.86-2.88, 3 Y 2.92-3.01
Ga2 0.3913 0.5053 0.7826  1 Ga 2.84, 2 Pb 2.86-2.88, 3 Y 2.92-3.01



A plane-wave DFT calculation with PBE was carried out for an optimized crystal structure of Y6Ga2Pb.

* symmetry: Immm

Cell: 8.7033 8.7033 8.7033 Å, 104.07 112.23 112.25°
With the nearest neighbours (Å) after each atom.
Fractional positions:
Y1 0.5369 0.7206 0.8162  3 Ga 3.07-3.18, 1 Pb 3.24
Y2 0.4631 0.2794 0.1838  3 Ga 3.07-3.18, 1 Pb 3.24
Y3 0.0956 0.2794 0.8162  3 Ga 3.07-3.18, 1 Pb 3.24
Y4 0.9044 0.7206 0.1838  3 Ga 3.07-3.18, 1 Pb 3.24
Y5 0.7961 0.7610 0.5570  2 Ga 2.95-3.25, 1 Pb 3.24
Y6 0.2039 0.2390 0.4430  2 Ga 2.95-3.25, 1 Pb 3.24
Y7 0.2039 0.7610 0.9649  2 Ga 2.95-3.25, 1 Pb 3.24
Y8 0.7961 0.2390 0.0351  2 Ga 2.95-3.25, 1 Pb 3.24
Y9 0.6995 0.3787 0.6792  3 Ga 2.90-3.07
Y10 0.3005 0.6213 0.3208  3 Ga 2.90-3.07
Y11 0.3005 0.9797 0.6792  3 Ga 2.90-3.07
Y12 0.6995 0.0203 0.3208  3 Ga 2.90-3.07
Ga1 0.5000 0.3805 0.8805  1 Ga 2.56
Ga2 0.5000 0.6195 0.1195  1 Ga 2.56
Ga3 0.6449 0.0000 0.6449  1 Ga 2.81, 6 Y 2.95-3.07
Ga4 0.3551 0.0000 0.3551  1 Ga 2.81, 6 Y 2.95-3.07
Pb1 0.0000 0.5000 0.5000  12 Y 3.42-3.74
Pb2 0.0000 0.0000 0.0000  8 Y 3.24, 2 Ga 3.45



A plane-wave DFT calculation with PBE was carried out for an optimized crystal structure of YGa2Pb4.

* symmetry: I4/mmm

Cell: 5.9656 5.9656 8.1568 Å, 68.55 68.55 90.00°
With the nearest neighbours (Å) after each atom.
Fractional positions:
Pb1 0.7828 0.7828 0.4345  1 Ga 2.70
Pb2 0.2172 0.2172 0.5655  1 Ga 2.70
Pb3 0.0000 0.5000 0.0000  2 Y 2.98, 4 Ga 3.23
Pb4 0.5000 0.0000 0.0000  2 Y 2.98, 4 Ga 3.23
Y1 0.0000 0.0000 0.0000  6 Pb 2.98-3.03
Ga1 0.5894 0.5894 0.8212  1 Ga 2.50, 1 Pb 2.70
Ga2 0.4106 0.4106 0.1788  1 Ga 2.50, 1 Pb 2.70



A plane-wave DFT calculation with PBE was carried out for an optimized crystal structure of Y5Ga2Pb2.

* symmetry: Cmce

Cell: 7.8729 8.0268 8.8038 Å, 117.12 90.00 90.00°
With the nearest neighbours (Å) after each atom.
Fractional positions:
Y1 0.0000 0.0000 0.0000  4 Ga 3.13-3.20, 2 Pb 3.34
Y2 0.5000 0.5000 0.0000  4 Ga 3.13-3.20, 2 Pb 3.34
Y3 0.8266 0.8071 0.2606  3 Ga 3.07-3.16, 3 Pb 3.15-3.21
Y4 0.1734 0.4535 0.2606  3 Ga 3.07-3.16, 3 Pb 3.15-3.21
Y5 0.3266 0.9535 0.2606  3 Ga 3.07-3.16, 3 Pb 3.15-3.21
Y6 0.6734 0.3071 0.2606  3 Ga 3.07-3.16, 3 Pb 3.15-3.21
Y7 0.1734 0.1929 0.7394  3 Ga 3.07-3.16, 3 Pb 3.15-3.21
Y8 0.8266 0.5465 0.7394  3 Ga 3.07-3.16, 3 Pb 3.15-3.21
Y9 0.6734 0.0465 0.7394  3 Ga 3.07-3.16, 3 Pb 3.15-3.21
Y10 0.3266 0.6929 0.7394  3 Ga 3.07-3.16, 3 Pb 3.15-3.21
Ga1 0.6217 0.8799 0.0000  1 Ga 2.72
Ga2 0.3783 0.1201 0.0000  1 Ga 2.72
Ga3 0.1217 0.6201 0.0000  1 Ga 2.72
Ga4 0.8783 0.3799 0.0000  1 Ga 2.72
Pb1 0.0000 0.2129 0.4258  7 Y 3.15-3.34
Pb2 0.5000 0.7129 0.4258  7 Y 3.15-3.34
Pb3 0.0000 0.7871 0.5742  7 Y 3.15-3.34
Pb4 0.5000 0.2871 0.5742  7 Y 3.15-3.34



A plane-wave DFT calculation with PBE was carried out for an optimized crystal structure of YGaPb.

* symmetry: Cmcm
* excess energy over the best structure of this formula in the dataset: 0.0 kJ/mol of atoms

Cell: 4.2491 4.5543 8.2867 Å, 105.95 90.00 90.00°
With the nearest neighbours (Å) after each atom.
Fractional positions:
Y1 0.2500 0.0873 0.1746  6 Ga 3.16-3.17, 2 Pb 3.27, 2 Y 3.50
Y2 0.7500 0.9127 0.8254  6 Ga 3.16-3.17, 2 Pb 3.27, 2 Y 3.50
Ga1 0.2500 0.4494 0.8988  2 Ga 2.67
Ga2 0.7500 0.5506 0.1012  2 Ga 2.67
Pb1 0.2500 0.7344 0.4689  4 Pb 3.15, 2 Y 3.27
Pb2 0.7500 0.2656 0.5311  4 Pb 3.15, 2 Y 3.27



Summary of spin magnetization in μB/atom
1.02 0.13 1.80 0.00 0.00 0.00 0.00 0.00 0.00 0.00 0.00 0.00
(order as listed above)
Summary of raw total energy in hartree per atom
-0.217 -0.206 -0.188 -0.174 -0.123 -0.122 -0.171 -0.170 -0.215 -0.131 -0.209 -0.176
(order as listed above)
Summary of ΔE_f in eV per atom
0.91 0.65 1.70 0.42 0.50 0.54 -0.26 -0.22 -0.47 0.34 -0.59 -0.40
(order as listed above)